(1)
{"formula": "BeSi2Ir", "functional": "PBE", "state": "relaxed", "cell": [[-1.6490, -3.1546, 2.1206], [-2.0078, -3.0193, -2.0050], [1.6772, -3.7791, -0.2698]], "species": ["Be", "Si", "Si", "Ir"], "fractional_positions": [[0.5000, 0.5000, 0.5000], [0.0000, 0.0000, 0.0000], [0.2500, 0.2500, 0.2500], [0.7500, 0.7500, 0.7500]], "raw_formation_energy_ev_per_atom": 0.10, "magnetic_moment_mub_per_atom": 0.000, "e_tot_ev_per_atom": -5.763}

(2)
{"formula": "AgP2SeO", "functional": "PBE", "state": "relaxed", "cell": [[-1.5989, -4.5818, 0.3117], [3.7842, -1.5015, -2.6594], [2.1038, -0.5109, 3.2821]], "species": ["O", "P", "P", "Se", "Ag"], "fractional_positions": [[0.0000, 0.0000, 0.5000], [0.0000, 0.5000, 0.0000], [0.5000, 0.0000, 0.0000], [0.5000, 0.5000, 0.5000], [0.0000, 0.0000, 0.0000]], "raw_formation_energy_ev_per_atom": 0.94, "magnetic_moment_mub_per_atom": 0.000, "e_tot_ev_per_atom": -3.486, "de_polymorph_kj_per_mol_fu": 154.2}

(3)
{"formula": "CeTmThZn", "functional": "PBE", "state": "relaxed", "cell": [[-3.6795, -3.6468, 0.7298], [-2.4524, -2.1018, -4.1156], [0.9372, -4.9677, -1.3467]], "species": ["Zn", "Tm", "Ce", "Th"], "fractional_positions": [[0.0000, 0.0000, 0.0000], [0.2500, 0.2500, 0.2500], [0.5000, 0.5000, 0.5000], [0.7500, 0.7500, 0.7500]], "magnetic_moment_mub_per_atom": 0.003, "e_tot_ev_per_atom": -4.660, "e_form_ev_per_atom": 0.115}

(4)
{"formula": "Tl2AgP", "functional": "PBE", "state": "relaxed", "cell": [[5.1207, 0.0191, 0.0000], [-0.0568, 5.1204, 0.0000], [-2.5319, -2.5697, 3.6342]], "species": ["Ag", "P", "Tl", "Tl"], "fractional_positions": [[0.5000, 0.5000, 0.0000], [0.7500, 0.2500, 0.5000], [0.0000, 0.0000, 0.0000], [0.2500, 0.7500, 0.5000]], "magnetic_moment_mub_per_atom": 0.000, "e_tot_ev_per_atom": -2.925, "e_form_ev_per_atom": 0.323, "de_polymorph_kj_per_mol_fu": 99.8}

(5)
{"formula": "Pm2PuCo2", "functional": "PBE", "state": "relaxed", "cell": [[6.0308, 0.0000, 0.0000], [-3.0154, 5.0786, 0.3325], [0.0000, -1.7751, 7.0887]], "species": ["Pm", "Pm", "Pm", "Pm", "Pu", "Pu", "Co", "Co", "Co", "Co"], "fractional_positions": [[0.5333, 0.3015, 0.1471], [0.2319, 0.6985, 0.3529], [0.4667, 0.6985, 0.8529], [0.7681, 0.3015, 0.6471], [0.9098, 0.0000, 0.2500], [0.0902, 0.0000, 0.7500], [0.7072, 0.7002, 0.4881], [0.0071, 0.2998, 0.0119], [0.2928, 0.2998, 0.5119], [0.9929, 0.7002, 0.9881]], "magnetic_moment_mub_per_atom": 0.873, "e_tot_ev_per_atom": -7.717, "e_form_ev_per_atom": -0.108}

(6)
{"formula": "CsCu2I4", "functional": "PBE", "state": "relaxed", "cell": [[-4.0332, -3.9256, -1.8083], [-3.5247, -3.4845, 5.7630], [-6.9094, 3.0472, -0.8674]], "species": ["Cs", "Cu", "Cu", "I", "I", "I", "I"], "fractional_positions": [[0.0000, 0.0000, 0.0000], [0.0000, 0.5000, 0.5000], [0.5000, 0.5000, 0.5000], [0.4048, 0.5000, 0.1903], [0.9048, 0.1903, 0.5000], [0.5952, 0.8097, 0.5000], [0.0952, 0.5000, 0.8097]], "raw_formation_energy_ev_per_atom": -0.55, "magnetic_moment_mub_per_atom": 0.000, "e_tot_ev_per_atom": -2.729, "de_polymorph_kj_per_mol_fu": 1.9}

(7)
{"formula": "TaInRh4", "functional": "PBE", "state": "relaxed", "cell": [[-2.0968, 3.3259, 3.3374], [-3.5613, 3.3660, -1.6072], [-4.9170, -0.5584, 1.4519]], "species": ["Ta", "In", "Rh", "Rh", "Rh", "Rh"], "fractional_positions": [[0.7500, 0.7500, 0.7500], [0.0000, 0.0000, 0.0000], [0.8760, 0.3747, 0.3747], [0.3747, 0.3747, 0.8760], [0.3747, 0.8760, 0.3747], [0.3747, 0.3747, 0.3747]], "magnetic_moment_mub_per_atom": 0.000, "e_tot_ev_per_atom": -7.478, "e_form_ev_per_atom": -0.145}

(8)
{"formula": "CaYGe3", "functional": "PBE", "state": "relaxed", "cell": [[-3.3534, 2.5716, -3.2975], [-0.6468, -4.4949, -2.8476], [-4.1313, -1.3836, 3.1224]], "species": ["Y", "Ge", "Ge", "Ge", "Ca"], "fractional_positions": [[0.0000, 0.0000, 0.0000], [0.0000, 0.5000, 0.0000], [0.0000, 0.0000, 0.5000], [0.5000, 0.0000, 0.0000], [0.5000, 0.5000, 0.5000]], "magnetic_moment_mub_per_atom": 0.000, "e_tot_ev_per_atom": -4.316, "e_form_ev_per_atom": 0.147, "de_polymorph_kj_per_mol_fu": 0.0}

(9)
{"formula": "TaNbMo6", "functional": "PBE", "state": "relaxed", "cell": [[-5.6005, -0.4648, 0.5562], [2.2782, -5.0290, -1.1871], [2.2712, 2.1192, 4.7161]], "species": ["Ta", "Nb", "Mo", "Mo", "Mo", "Mo", "Mo", "Mo"], "fractional_positions": [[0.0000, 0.0000, 0.0000], [0.5000, 0.5000, 0.5000], [0.2507, 0.7514, 0.2507], [0.2507, 0.2507, 0.7514], [0.7493, 0.2486, 0.7493], [0.2486, 0.7493, 0.7493], [0.7493, 0.7493, 0.2486], [0.7514, 0.2507, 0.2507]], "magnetic_moment_mub_per_atom": 0.000, "e_tot_ev_per_atom": -10.646, "e_form_ev_per_atom": 0.217, "de_polymorph_kj_per_mol_fu": 242.7}

(10)
{"formula": "YNi8B4", "functional": "PBE", "state": "relaxed", "cell": [[4.4656, 0.0000, 0.0000], [2.2328, 5.3910, 0.0000], [2.2328, 0.0000, 5.3910]], "species": ["Y", "Ni", "Ni", "Ni", "Ni", "Ni", "Ni", "Ni", "Ni", "B", "B", "B", "B"], "fractional_positions": [[0.0000, 0.0000, 0.0000], [0.0000, 0.3425, 0.6575], [0.0000, 0.6575, 0.3425], [0.3425, 0.6575, 0.6575], [0.6575, 0.3425, 0.3425], [0.5000, 0.7727, 0.2273], [0.5000, 0.2273, 0.7727], [0.2727, 0.2273, 0.2273], [0.7273, 0.7727, 0.7727], [0.0000, 0.0000, 0.5000], [0.5000, 0.0000, 0.5000], [0.0000, 0.5000, 0.0000], [0.5000, 0.5000, 0.0000]], "magnetic_moment_mub_per_atom": 0.000, "e_tot_ev_per_atom": -6.272, "e_form_ev_per_atom": -0.162}

(11)
{"formula": "Te3OsPd", "functional": "PBE", "state": "relaxed", "cell": [[5.2009, 0.0000, 0.0000], [0.0000, 5.2009, 0.0000], [0.0000, 0.0000, 5.2009]], "species": ["Te", "Te", "Te", "Os", "Pd"], "fractional_positions": [[0.0000, 0.5000, 0.0000], [0.0000, 0.0000, 0.5000], [0.5000, 0.0000, 0.0000], [0.0000, 0.0000, 0.0000], [0.5000, 0.5000, 0.5000]], "raw_formation_energy_ev_per_atom": 0.94, "magnetic_moment_mub_per_atom": 0.000, "e_tot_ev_per_atom": -4.228, "de_polymorph_kj_per_mol_fu": 0.0}

(12)
{"formula": "Hg3TePd", "functional": "PBE", "state": "relaxed", "cell": [[-1.6767, -4.9396, 0.6296], [3.6474, -0.7660, 3.7037], [-3.3901, 1.6190, 3.6734]], "species": ["Te", "Hg", "Hg", "Hg", "Pd"], "fractional_positions": [[0.5000, 0.5000, 0.5000], [0.0000, 0.5000, 0.0000], [0.0000, 0.0000, 0.5000], [0.5000, 0.0000, 0.0000], [0.0000, 0.0000, 0.0000]], "raw_formation_energy_ev_per_atom": 0.19, "magnetic_moment_mub_per_atom": 0.124, "e_tot_ev_per_atom": -1.656, "de_polymorph_kj_per_mol_fu": 0.0}

What did the third record say?
{"formula": "CeTmThZn", "functional": "PBE", "state": "relaxed", "cell": [[-3.6795, -3.6468, 0.7298], [-2.4524, -2.1018, -4.1156], [0.9372, -4.9677, -1.3467]], "species": ["Zn", "Tm", "Ce", "Th"], "fractional_positions": [[0.0000, 0.0000, 0.0000], [0.2500, 0.2500, 0.2500], [0.5000, 0.5000, 0.5000], [0.7500, 0.7500, 0.7500]], "magnetic_moment_mub_per_atom": 0.003, "e_tot_ev_per_atom": -4.660, "e_form_ev_per_atom": 0.115}